{"formula": "Tl2VReO6", "functional": "PBE+U", "state": "optimized geometry", "sg": "No. 166", "energy_ev_per_cell": -136.1, "magmom_total_mub_per_fu": 2.00, "crystal_system": "trigonal", "cell": [[-2.968, -3.841, -3.382], [2.846, -3.082, -4.172], [1.708, -9.174, 3.746]], "species": ["Tl", "Tl", "Tl", "Tl", "V", "V", "Re", "Re", "O", "O", "O", "O", "O", "O", "O", "O", "O", "O", "O", "O"], "frac_coords": [[0.871, 0.871, 0.387], [0.129, 0.129, 0.613], [0.721, 0.721, 0.838], [0.279, 0.279, 0.162], [0.597, 0.597, 0.209], [0.403, 0.403, 0.791], [0.000, 0.000, 0.000], [0.500, 0.500, 0.500], [0.830, 0.399, 0.372], [0.399, 0.830, 0.372], [0.399, 0.399, 0.372], [0.170, 0.601, 0.628], [0.601, 0.170, 0.628], [0.601, 0.601, 0.628], [0.728, 0.193, 0.886], [0.193, 0.728, 0.886], [0.193, 0.193, 0.886], [0.272, 0.807, 0.114], [0.807, 0.272, 0.114], [0.807, 0.807, 0.114]]}